Compound: SrMo2Au
Source: Alexandria
Functional: PBE
Structure: optimized geometry

The formation energy comes out at 1.18 eV/atom. The energy is -21.91 eV/cell. The calculation puts the excess energy over the best structure of this formula in the dataset at 901 meV per atom. The crystal system is cubic.

Cell: 4.763 4.763 4.763 Å, 60.00 60.00 60.00°
Sites, in units of the cell vectors:
Mo: 0.250 0.250 0.250
Mo: 0.750 0.750 0.750
Au: 0.500 0.500 0.500
Sr: 0.000 0.000 0.000